[1]
# PrNd4S4, relaxed, DFT PBE-GGA
# **Final energy**: -112.81 eV for the cell shown
# **Magnetization**: 0.00 μB/atom
# **D(E_F)**: 10.93 states/eV per cell
# **Formation energy without anion corrections**: -1.78 eV/atom
data_PrNd4S4
_cell_length_a 9.070
_cell_length_b 9.070
_cell_length_c 5.739
_cell_angle_alpha 90.00
_cell_angle_beta 90.00
_cell_angle_gamma 90.00
_symmetry_space_group_name_H-M 'I 4/m'
_symmetry_Int_Tables_number 87
_symmetry_space_group_name_Hall '-I 4'
loop_
_atom_site_label
_atom_site_fract_x
_atom_site_fract_y
_atom_site_fract_z
Pr1 0.000 0.000 0.000
Nd1 0.105 0.695 0.500
S1 0.100 0.697 0.000

=====

[2]
# YMnTc2, relaxed, DFT PBE-GGA
# **Final energy**: -103.32 eV for the cell shown
# **Distance to the lowest polymorph of the same formula**: 1.29 eV/f.u.
# **Magnetization**: 0.88 μB/atom
# **DFT formation energy**: 0.481 eV/atom
# **D(E_F)**: 10.75 states/eV per cell
data_YMnTc2
_cell_length_a 2.9022
_cell_length_b 2.9022
_cell_length_c 28.5473
_cell_angle_alpha 90.00
_cell_angle_beta 90.00
_cell_angle_gamma 120.00
_symmetry_space_group_name_H-M 'R 3 m'
_symmetry_Int_Tables_number 160
_symmetry_space_group_name_Hall 'R 3 -2"'
loop_
_atom_site_label
_atom_site_fract_x
_atom_site_fract_y
_atom_site_fract_z
Y1 0.0000 0.0000 0.0000
Mn1 0.0000 0.0000 0.2405
Tc1 0.0000 0.0000 0.4981
Tc2 0.0000 0.0000 0.7603

=====

[3]
# TmCuPt4, relaxed, DFT PBE-GGA
# **Final energy**: -147.29 eV for the cell shown
# **Distance to the lowest polymorph of the same formula**: 0.00 eV/f.u.
# **Magnetization**: 0.00 μB/atom
# **DFT formation energy**: -0.682 eV/atom
# **D(E_F)**: 13.12 states/eV per cell
data_TmCuPt4
_cell_length_a 3.947
_cell_length_b 12.191
_cell_length_c 8.149
_cell_angle_alpha 90.00
_cell_angle_beta 90.00
_cell_angle_gamma 90.00
_symmetry_space_group_name_H-M 'C m c m'
_symmetry_Int_Tables_number 63
_symmetry_space_group_name_Hall '-C 2c 2'
loop_
_atom_site_label
_atom_site_fract_x
_atom_site_fract_y
_atom_site_fract_z
Tm1 0.000 0.163 0.250
Cu1 0.000 0.161 0.750
Pt1 0.000 0.000 0.000
Pt2 0.000 0.333 0.006
Pt3 0.000 0.489 0.250